A plane-wave DFT calculation with PBE was carried out for a geometry-optimized Sc2FeAu structure.

Cell: 3.5923 3.5923 5.8952 Å, 90.00 90.00 90.00°
Space group P4mm (No. 99)
Inequivalent atoms, fractional coordinates:
1 Sc 0.0000 0.0000 0.0000 [1 per cell]
2 Sc 0.5000 0.5000 0.3377 [1 per cell]
3 Fe 0.5000 0.5000 0.8430 [1 per cell]
4 Au 0.0000 0.0000 0.5339 [1 per cell]

magnetic moment: 1.45 μB per formula unit
electronic total energy: -6.31 eV/atom
DFT formation energy: -213 meV per atom